[1]
Cd2CuP | PBE-GGA | optimized geometry

Calculated values
DFT total energy, eV per atom: -2.528
Crystal system: trigonal
Calculated density, Mg/m³: 7.37

Structure (CIF):
```
data_Cd2CuP
_chemical_formula_sum 'Cd2 Cu1 P1'
_cell_length_a 9.335
_cell_length_b 9.335
_cell_length_c 9.335
_cell_angle_alpha 18.55
_cell_angle_beta 18.55
_cell_angle_gamma 18.55
_symmetry_space_group_name_H-M 'P 1'
_symmetry_Int_Tables_number 1
loop_
_symmetry_equiv_pos_as_xyz
'x,y,z'
loop_
_atom_site_label
_atom_site_fract_x
_atom_site_fract_y
_atom_site_fract_z
Cd1 0.246 0.246 0.246
Cd2 0.754 0.754 0.754
Cu1 0.500 0.500 0.500
P1 0.000 0.000 0.000
```

---

[2]
Rb2CdCuP | PBE-GGA | optimized geometry

Calculated values
Relative energy among the computed polymorphs, eV/atom: 0.0000
Crystal system: tetragonal
Calculated density, Mg/m³: 3.42

Structure (CIF):
```
data_Rb2CdCuP
_chemical_formula_sum 'Rb2 Cd1 Cu1 P1'
_cell_length_a 6.558
_cell_length_b 6.558
_cell_length_c 4.268
_cell_angle_alpha 90.00
_cell_angle_beta 90.00
_cell_angle_gamma 90.00
_symmetry_space_group_name_H-M 'P 1'
_symmetry_Int_Tables_number 1
loop_
_symmetry_equiv_pos_as_xyz
'x,y,z'
loop_
_atom_site_label
_atom_site_fract_x
_atom_site_fract_y
_atom_site_fract_z
Rb1 0.000 0.500 0.000
Rb2 0.500 0.000 0.000
Cd1 0.000 0.000 0.500
Cu1 0.500 0.500 0.000
P1 0.500 0.500 0.500
```

---

[3]
Cd2CuReP | PBE-GGA | optimized geometry

Calculated values
DFT total energy, eV per atom: -3.773
Crystal system: tetragonal
Calculated density, Mg/m³: 7.82

Structure (CIF):
```
data_Cd2CuReP
_chemical_formula_sum 'Cd2 Cu1 Re1 P1'
_cell_length_a 4.936
_cell_length_b 4.936
_cell_length_c 4.404
_cell_angle_alpha 90.00
_cell_angle_beta 90.00
_cell_angle_gamma 90.00
_symmetry_space_group_name_H-M 'P 1'
_symmetry_Int_Tables_number 1
loop_
_symmetry_equiv_pos_as_xyz
'x,y,z'
loop_
_atom_site_label
_atom_site_fract_x
_atom_site_fract_y
_atom_site_fract_z
Cd1 0.000 0.500 0.000
Cd2 0.500 0.000 0.000
Cu1 0.000 0.000 0.500
Re1 0.500 0.500 0.500
P1 0.500 0.500 0.000
```

---

[4]
CdCuP2Rh | PBE-GGA | optimized geometry

Calculated values
DFT total energy, eV per atom: -3.981
Crystal system: tetragonal
Calculated density, Mg/m³: 6.17

Structure (CIF):
```
data_CdCuP2Rh
_chemical_formula_sum 'Cd1 Cu1 P2 Rh1'
_cell_length_a 4.348
_cell_length_b 4.348
_cell_length_c 4.849
_cell_angle_alpha 90.00
_cell_angle_beta 90.00
_cell_angle_gamma 90.00
_symmetry_space_group_name_H-M 'P 1'
_symmetry_Int_Tables_number 1
loop_
_symmetry_equiv_pos_as_xyz
'x,y,z'
loop_
_atom_site_label
_atom_site_fract_x
_atom_site_fract_y
_atom_site_fract_z
Cd1 0.000 0.000 0.000
Cu1 0.500 0.500 0.500
P1 0.000 0.500 0.500
P2 0.500 0.000 0.500
Rh1 0.500 0.500 0.000
```

---

[5]
CdCu2PS4 | PBE-GGA | optimized geometry

Calculated values
Crystal system: tetragonal
Formation energy without anion corrections, eV per atom: -0.210
Calculated density, Mg/m³: 4.09

Structure (CIF):
```
data_CdCu2PS4
_chemical_formula_sum 'Cd1 Cu2 P1 S4'
_cell_length_a 6.616
_cell_length_b 6.616
_cell_length_c 6.616
_cell_angle_alpha 130.86
_cell_angle_beta 130.86
_cell_angle_gamma 72.03
_symmetry_space_group_name_H-M 'P 1'
_symmetry_Int_Tables_number 1
loop_
_symmetry_equiv_pos_as_xyz
'x,y,z'
loop_
_atom_site_label
_atom_site_fract_x
_atom_site_fract_y
_atom_site_fract_z
Cd1 0.000 0.000 0.000
Cu1 0.250 0.750 0.500
Cu2 0.750 0.250 0.500
P1 0.500 0.500 0.000
S1 0.140 0.591 0.000
S2 0.409 0.409 0.549
S3 0.591 0.140 0.000
S4 0.860 0.860 0.451
```

---

[6]
CdCu2SbP | PBE-GGA | optimized geometry

Calculated values
Crystal system: tetragonal
Formation energy without anion corrections, eV per atom: 0.890
Calculated density, Mg/m³: 4.91

Structure (CIF):
```
data_CdCu2SbP
_chemical_formula_sum 'Cd1 Cu2 Sb1 P1'
_cell_length_a 4.808
_cell_length_b 4.808
_cell_length_c 5.733
_cell_angle_alpha 90.00
_cell_angle_beta 90.00
_cell_angle_gamma 90.00
_symmetry_space_group_name_H-M 'P 1'
_symmetry_Int_Tables_number 1
loop_
_symmetry_equiv_pos_as_xyz
'x,y,z'
loop_
_atom_site_label
_atom_site_fract_x
_atom_site_fract_y
_atom_site_fract_z
Cd1 0.000 0.000 0.000
Cu1 0.000 0.500 0.500
Cu2 0.500 0.000 0.500
Sb1 0.000 0.000 0.500
P1 0.500 0.500 0.000
```